Entry from Alexandria: KFeMo2 at its PBEsol-relaxed geometry (meta-GGA SCAN).

Cell lengths 2.5677, 5.2970, 5.7417 Å; angles 114.12, 96.62, 103.59 degrees
Fractional positions:
Mo (0.0000, 0.0000, 0.5000)
Mo (0.5000, 0.5000, 0.5000)
K (0.0000, 0.5000, 0.0000)
Fe (0.5000, 0.0000, 0.0000)

Computed properties:
The calculation puts the total magnetic moment at 2.7 Bohr magnetons per cell. As for the space-group type: C2/m. As for the calculated total energy: -22.6771 eV per atom. Its energy above the lowest structure with this stoichiometry is 0.405 eV/atom.



Entry from Alexandria: KFeMo at its PBEsol-relaxed geometry (meta-GGA SCAN).

Cell lengths 4.7101, 4.7101, 4.7101 Å; angles 60.00, 60.00, 60.00 degrees
Fractional positions:
Mo (0.0000, 0.0000, 0.0000)
K (0.7500, 0.7500, 0.7500)
Fe (0.5000, 0.5000, 0.5000)

Computed properties:
The calculation puts the total magnetic moment at 7.4 Bohr magnetons per cell. As for the space-group type: F-43m. As for the calculated total energy: -17.8378 eV per atom.



Entry from Alexandria: KFeMo2 at its PBEsol-relaxed geometry (meta-GGA SCAN).

Cell lengths 2.6118, 4.9511, 4.9511 Å; angles 90.00, 90.00, 90.00 degrees
Fractional positions:
Mo (0.0000, 0.5000, 0.0000)
Mo (0.0000, 0.0000, 0.5000)
K (0.5000, 0.0000, 0.0000)
Fe (0.5000, 0.5000, 0.5000)

Computed properties:
The calculation puts the total magnetic moment at 1.6 Bohr magnetons per cell. As for the space-group type: P4/mmm. As for the calculated total energy: -22.2034 eV per atom. Its energy above the lowest structure with this stoichiometry is 0.879 eV/atom.



Entry from Alexandria: KFeMo2O8 at its PBEsol-relaxed geometry (meta-GGA SCAN).

Cell lengths 5.5364, 5.5364, 6.9490 Å; angles 90.00, 90.00, 120.00 degrees
Fractional positions:
O (0.1572, 0.3143, 0.6560)
O (0.3143, 0.1572, 0.3440)
O (0.3333, 0.6667, 0.9839)
O (0.8428, 0.1572, 0.3440)
O (0.6857, 0.8428, 0.6560)
O (0.6667, 0.3333, 0.0161)
O (0.8428, 0.6857, 0.3440)
O (0.1572, 0.8428, 0.6560)
Fe (0.0000, 0.0000, 0.5000)
Mo (0.3333, 0.6667, 0.7356)
Mo (0.6667, 0.3333, 0.2644)
K (0.0000, 0.0000, 0.0000)

Computed properties:
The calculation puts the total magnetic moment at 1.0 Bohr magnetons per cell. As for the raw formation energy: -2.0172 eV per atom. As for the space-group type: P-3m1. As for the calculated total energy: -14.1904 eV per atom.



Entry from Alexandria: KFeN3 at its PBEsol-relaxed geometry (meta-GGA SCAN).

Cell lengths 4.1530, 4.1530, 4.1530 Å; angles 90.00, 90.00, 90.00 degrees
Fractional positions:
N (0.0000, 0.0000, 0.5000)
N (0.0000, 0.5000, 0.0000)
N (0.5000, 0.0000, 0.0000)
Fe (0.5000, 0.5000, 0.5000)
K (0.0000, 0.0000, 0.0000)

Computed properties:
The calculation puts the total magnetic moment at 7.5 Bohr magnetons per cell. As for the raw formation energy: 3.4666 eV per atom. As for the space-group type: Pm-3m. As for the calculated total energy: -7.3998 eV per atom.



Entry from Alexandria: K2Na4Fe2O5 at its PBEsol-relaxed geometry (meta-GGA SCAN).

Cell lengths 6.3498, 6.3498, 10.2539 Å; angles 90.00, 90.00, 90.00 degrees
Fractional positions:
O (0.7161, 0.7161, 0.1638)
O (0.0000, 0.0000, 0.0000)
O (0.2161, 0.7839, 0.6638)
O (0.7161, 0.7161, 0.8362)
O (0.2839, 0.2839, 0.8362)
O (0.7839, 0.2161, 0.3362)
O (0.2839, 0.2839, 0.1638)
O (0.5000, 0.5000, 0.5000)
O (0.2161, 0.7839, 0.3362)
O (0.7839, 0.2161, 0.6638)
K (0.3061, 0.6939, 0.0000)
K (0.8061, 0.8061, 0.5000)
K (0.6939, 0.3061, 0.0000)
K (0.1939, 0.1939, 0.5000)
Na (0.0000, 0.5000, 0.2500)
Na (0.5000, 0.0000, 0.2500)
Na (0.5000, 0.5000, 0.7231)
Na (0.5000, 0.5000, 0.2769)
Na (0.5000, 0.0000, 0.7500)
Na (0.0000, 0.0000, 0.7769)
Na (0.0000, 0.0000, 0.2231)
Na (0.0000, 0.5000, 0.7500)
Fe (0.7099, 0.2901, 0.5000)
Fe (0.2099, 0.2099, 0.0000)
Fe (0.2901, 0.7099, 0.5000)
Fe (0.7901, 0.7901, 0.0000)

Computed properties:
The calculation puts the total magnetic moment at 16.0 Bohr magnetons per cell. As for the raw formation energy: -1.5070 eV per atom. As for the space-group type: P4_2/mnm. As for the calculated total energy: -9.2711 eV per atom.



Entry from Alexandria: K3NaFe2O8 at its PBEsol-relaxed geometry (meta-GGA SCAN).

Cell lengths 5.7670, 5.7670, 7.4857 Å; angles 90.00, 90.00, 120.00 degrees
Fractional positions:
O (0.1793, 0.3586, 0.8024)
O (0.8207, 0.1793, 0.1976)
O (0.1793, 0.8207, 0.8024)
O (0.6414, 0.8207, 0.8024)
O (0.8207, 0.6414, 0.1976)
O (0.3333, 0.6667, 0.5058)
O (0.6667, 0.3333, 0.4942)
O (0.3586, 0.1793, 0.1976)
Fe (0.6667, 0.3333, 0.2780)
Fe (0.3333, 0.6667, 0.7220)
Na (0.0000, 0.0000, 0.0000)
K (0.0000, 0.0000, 0.5000)
K (0.6667, 0.3333, 0.8394)
K (0.3333, 0.6667, 0.1606)

Computed properties:
The calculation puts the total magnetic moment at 4.0 Bohr magnetons per cell. As for the raw formation energy: -1.5859 eV per atom. As for the space-group type: P-3m1. As for the calculated total energy: -9.8223 eV per atom.



Entry from Alexandria: K2NaFeO3 at its PBEsol-relaxed geometry (meta-GGA SCAN).

Cell lengths 6.2796, 6.2860, 6.6281 Å; angles 90.00, 90.00, 119.97 degrees
Fractional positions:
K (0.7500, 0.5000, 0.6604)
K (0.2500, 0.0000, 0.0000)
K (0.7500, 0.0000, 0.0000)
K (0.2500, 0.5000, 0.3396)
O (0.3940, 0.7880, 0.6854)
O (0.6060, 0.2120, 0.3146)
O (0.8940, 0.7880, 0.3146)
O (0.1060, 0.2120, 0.6854)
O (0.5000, 0.5000, 0.0000)
O (0.0000, 0.5000, 0.0000)
Na (0.7500, 0.0000, 0.5000)
Na (0.2500, 0.0000, 0.5000)
Fe (0.2500, 0.5000, 0.8329)
Fe (0.7500, 0.5000, 0.1671)

Computed properties:
The calculation puts the total magnetic moment at 10.0 Bohr magnetons per cell. As for the raw formation energy: -1.6638 eV per atom. As for the space-group type: Cmme. As for the calculated total energy: -9.9060 eV per atom.